## Rb4Pu3TiS8 (PBE)

Data for Rb4Pu3TiS8 after structural relaxation.

Structure (extended XYZ):
```
16
Lattice="8.0484 0.0000 0.0000 0.0000 8.9309 0.6086 -4.0242 -4.0144 5.6976" Properties=species:S:1:pos:R:3 pbc="T T T"
Rb 4.0242 0.0000 0.0000
Rb 2.0121 -2.0072 2.8488
Rb 0.0000 0.0000 0.0000
Rb -2.0121 -2.0072 2.8488
Pu 4.0242 4.4655 0.3043
Pu 2.0121 2.4582 3.1531
Pu -2.0121 2.4582 3.1531
Ti 0.0000 4.4655 0.3043
S -2.1342 2.2365 5.9252
S 0.0000 4.3655 2.9032
S 0.0000 0.5777 3.2490
S 2.1342 2.2365 5.9252
S 1.8901 2.6800 0.3810
S 4.0242 4.3388 3.0572
S 4.0242 0.5510 3.4031
S 6.1584 2.6800 0.3810
```

Values from the calculation:
For the uncorrected formation energy, the calculation gives -142.27 kJ per mole of atoms. The calculation puts the density of states at the Fermi level at 28.7 states/eV/f.u.

---

## Rb3Pu2TiS6 (PBE)

Data for Rb3Pu2TiS6 after structural relaxation.

Structure (extended XYZ):
```
12
Lattice="6.9017 -0.0007 -0.0010 -3.4497 5.9777 -0.0010 -1.1522 -1.9950 7.6514" Properties=species:S:1:pos:R:3 pbc="T T T"
Rb -2.2760 3.9696 3.8247
Rb 4.5758 0.0124 3.8247
Rb 1.1499 1.9910 3.8247
Pu 0.0025 3.9839 -0.0010
Pu 3.4495 1.9931 -0.0010
Ti 0.0000 0.0000 0.0000
S 3.3738 2.1210 6.2262
S 2.3774 4.1165 1.4284
S -1.0741 1.8611 1.4232
S 0.1510 3.9823 6.2262
S -0.0777 -0.1345 6.2210
S 2.1488 -0.0002 1.4232
```

Values from the calculation:
For the uncorrected formation energy, the calculation gives -140.34 kJ per mole of atoms. The calculation puts the density of states at the Fermi level at 19.5 states/eV/f.u.

---

## Rb3Pu3TlS8 (PBE)

Data for Rb3Pu3TlS8 after structural relaxation.

Structure (extended XYZ):
```
15
Lattice="8.2606 -0.0205 0.0021 -4.1480 7.1394 -0.0280 0.0135 -4.7280 7.6714" Properties=species:S:1:pos:R:3 pbc="T T T"
Rb 0.0000 0.0000 0.0000
Rb -2.0740 3.5697 -0.0140
Rb 2.0563 3.5594 -0.0130
Pu 4.1371 -2.3742 3.8368
Pu 2.0631 1.1954 3.8227
Pu -2.0672 1.2057 3.8217
Tl 0.0068 -2.3640 3.8357
S -0.0151 2.3894 2.3660
S 4.1412 0.0014 5.2795
S 4.1205 2.2384 2.3765
S 0.0057 0.1525 5.2690
S 6.0466 -1.1084 2.3907
S -1.9204 3.4993 5.2548
S 2.1834 -1.1147 2.3885
S 1.9428 3.5056 5.2570
```

Values from the calculation:
For the uncorrected formation energy, the calculation gives -120.71 kJ per mole of atoms. The calculation puts the density of states at the Fermi level at 32.8 states/eV/f.u.